VASP calculation (PBE+U) on a geometry-optimized Li7Fe5O12 structure.

Calculated values
* symmetry: C2, No. 5
* theoretical density: 3.971 g cm⁻³
* M_tot: 23.0 μB/f.u.
* total energy: -5.876 eV per atom
* excess energy over the best structure of this formula in the dataset: 0 meV per atom

abc: 5.084 5.084 9.615
angles: 85.73 85.73 117.89
Fractional coordinates of all 24 atoms:
Li 0.753 0.247 0.000
Li 0.829 0.654 0.759
Li 0.655 0.828 0.249
Li 0.346 0.171 0.241
Li 0.172 0.345 0.751
Li 0.248 0.752 0.500
Li 0.080 0.920 0.000
Fe 0.920 0.080 0.500
Fe 0.999 0.509 0.242
Fe 0.491 0.001 0.758
Fe 0.577 0.423 0.500
Fe 0.423 0.577 0.000
O 0.081 0.254 0.115
O 0.746 0.919 0.885
O 0.842 0.344 0.630
O 0.656 0.158 0.370
O 0.709 0.543 0.122
O 0.457 0.291 0.878
O 0.562 0.733 0.617
O 0.267 0.438 0.383
O 0.359 0.836 0.128
O 0.164 0.641 0.872
O 0.226 0.063 0.621
O 0.937 0.774 0.379